Entry 1:
This record from Alexandria via LeMat-Bulk describes a relaxed structure of Dy6In2Pb. The functional is PBE-GGA.

Magnetic moment = 0.00 μB/atom
ρ = 7.9 g cm⁻³
Crystal system = orthorhombic
Raw total energy = -4.23 eV per atom
Calculated formation energy = -0.137 eV/atom

Cell lengths 5.1879, 7.3278, 15.5522 Å; angles 90.00, 90.00, 90.00 degrees
Space group Immm (No. 71)
One atom of each set of equivalent atoms:
Dy  0.0000  0.2443  0.0000 (multiplicity 4)
Dy  0.0000  0.2531  0.3310 (multiplicity 8)
In  0.0000  0.0000  0.1666 (multiplicity 4)
Pb  0.0000  0.0000  0.5000 (multiplicity 2)



Entry 2:
This record from Alexandria via LeMat-Bulk describes a relaxed structure of DyIn2Pb2. The functional is PBE-GGA.

Magnetic moment = 0.00 μB/atom
ρ = 9.7 g cm⁻³
Crystal system = orthorhombic
Raw total energy = -3.70 eV per atom
Calculated formation energy = -0.203 eV/atom

Cell lengths 4.5430, 26.1096, 4.6697 Å; angles 90.00, 90.00, 90.00 degrees
Space group Cmcm (No. 63)
One atom of each set of equivalent atoms:
Dy  0.0000  0.1456  0.2500 (multiplicity 4)
In  0.0000  0.0491  0.7500 (multiplicity 4)
In  0.0000  0.4538  0.7500 (multiplicity 4)
Pb  0.0000  0.2511  0.7500 (multiplicity 4)
Pb  0.0000  0.3549  0.2500 (multiplicity 4)



Entry 3:
This record from Alexandria via LeMat-Bulk describes a relaxed structure of Dy5In2Pb2. The functional is PBE-GGA.

Magnetic moment = 0.00 μB/atom
ρ = 9.2 g cm⁻³
Crystal system = orthorhombic
Raw total energy = -4.46 eV per atom
Calculated formation energy = -0.475 eV/atom

Cell lengths 15.8204, 8.2205, 8.1103 Å; angles 90.00, 90.00, 90.00 degrees
Space group Cmce (No. 64)
One atom of each set of equivalent atoms:
Dy  0.0000  0.0000  0.0000 (multiplicity 4)
Dy  0.1373  0.1754  0.3276 (multiplicity 16)
In  0.0000  0.1261  0.6264 (multiplicity 8)
Pb  0.2086  0.0000  0.0000 (multiplicity 8)



Entry 4:
This record from Alexandria via LeMat-Bulk describes a relaxed structure of Dy3InPb2. The functional is PBE-GGA.

Magnetic moment = 0.00 μB/atom
ρ = 9.8 g cm⁻³
Energy above the most stable polymorph in this dataset = 40 meV per atom
Crystal system = orthorhombic
Raw total energy = -4.38 eV per atom
Calculated formation energy = -0.387 eV/atom

Cell lengths 12.6080, 4.7240, 11.5662 Å; angles 90.00, 90.00, 90.00 degrees
Space group Pnma (No. 62)
One atom of each set of equivalent atoms:
Dy  0.0321  0.2500  0.1245 (multiplicity 4)
Dy  0.1432  0.7500  0.5797 (multiplicity 4)
Dy  0.2005  0.2500  0.8197 (multiplicity 4)
In  0.1494  0.2500  0.3612 (multiplicity 4)
Pb  0.0037  0.7500  0.3290 (multiplicity 4)
Pb  0.1778  0.7500  0.0400 (multiplicity 4)



Entry 5:
This record from Alexandria via LeMat-Bulk describes a relaxed structure of Dy2In3Pb3. The functional is PBE-GGA.

Magnetic moment = 0.00 μB/atom
ρ = 9.9 g cm⁻³
Crystal system = orthorhombic
Raw total energy = -3.89 eV per atom
Calculated formation energy = -0.324 eV/atom

Cell lengths 4.6783, 4.9651, 9.3033 Å; angles 90.00, 90.00, 90.00 degrees
Space group Pmmm (No. 47)
One atom of each set of equivalent atoms:
Dy  0.0000  0.0000  0.2460 (multiplicity 2)
In  0.0000  0.5000  0.0000 (multiplicity 1)
In  0.5000  0.5000  0.2423 (multiplicity 2)
Pb  0.0000  0.5000  0.5000 (multiplicity 1)
Pb  0.5000  0.0000  0.0000 (multiplicity 1)
Pb  0.5000  0.0000  0.5000 (multiplicity 1)



Entry 6:
This record from Alexandria via LeMat-Bulk describes a relaxed structure of DyInPb. The functional is PBE-GGA.

Magnetic moment = 0.00 μB/atom
ρ = 9.5 g cm⁻³
Energy above the most stable polymorph in this dataset = 75 meV per atom
Crystal system = hexagonal
Raw total energy = -3.91 eV per atom
Calculated formation energy = -0.225 eV/atom

Cell lengths 5.4284, 5.4284, 6.6352 Å; angles 90.00, 90.00, 120.00 degrees
Space group P6_3/mmc (No. 194)
One atom of each set of equivalent atoms:
Dy  0.3333  0.6667  0.2500 (multiplicity 2)
In  0.3333  0.6667  0.7500 (multiplicity 2)
Pb  0.0000  0.0000  0.0000 (multiplicity 2)



Entry 7:
This record from Alexandria via LeMat-Bulk describes a relaxed structure of DyInPb. The functional is PBE-GGA.

Magnetic moment = 0.00 μB/atom
ρ = 9.6 g cm⁻³
Energy above the most stable polymorph in this dataset = 0 meV per atom
Crystal system = orthorhombic
Raw total energy = -3.98 eV per atom
Calculated formation energy = -0.300 eV/atom

Cell lengths 3.5507, 20.0935, 4.7138 Å; angles 90.00, 90.00, 90.00 degrees
Space group Cmcm (No. 63)
One atom of each set of equivalent atoms:
Dy  0.0000  0.1111  0.2500 (multiplicity 4)
In  0.0000  0.4590  0.2500 (multiplicity 4)
Pb  0.0000  0.3017  0.2500 (multiplicity 4)



Entry 8:
This record from Alexandria via LeMat-Bulk describes a relaxed structure of Dy7In2Pb2. The functional is PBE-GGA.

Magnetic moment = 0.00 μB/atom
ρ = 8.4 g cm⁻³
Crystal system = orthorhombic
Raw total energy = -4.21 eV per atom
Calculated formation energy = -0.113 eV/atom

Cell lengths 8.0878, 11.1512, 7.7655 Å; angles 90.00, 90.00, 90.00 degrees
Space group Cmmm (No. 65)
One atom of each set of equivalent atoms:
Dy  0.0000  0.0000  0.0000 (multiplicity 2)
Dy  0.0000  0.5000  0.2745 (multiplicity 4)
Dy  0.2500  0.2500  0.2893 (multiplicity 8)
In  0.1753  0.0000  0.5000 (multiplicity 4)
Pb  0.0000  0.2954  0.0000 (multiplicity 4)



Entry 9:
This record from Alexandria via LeMat-Bulk describes a relaxed structure of DyInPb. The functional is PBE-GGA.

Magnetic moment = 0.00 μB/atom
ρ = 9.5 g cm⁻³
Energy above the most stable polymorph in this dataset = 34 meV per atom
Crystal system = monoclinic
Raw total energy = -3.95 eV per atom
Calculated formation energy = -0.266 eV/atom

Cell lengths 4.6590, 6.9739, 5.6774 Å; angles 90.00, 113.81, 90.00 degrees
Space group P2_1/m (No. 11)
One atom of each set of equivalent atoms:
Dy  0.0000  0.0000  0.0000 (multiplicity 2)
In  0.3463  0.2500  0.6942 (multiplicity 2)
Pb  0.3381  0.7500  0.6781 (multiplicity 2)



Entry 10:
This record from Alexandria via LeMat-Bulk describes a relaxed structure of DyInPb. The functional is PBE-GGA.

Magnetic moment = 0.00 μB/atom
ρ = 9.6 g cm⁻³
Energy above the most stable polymorph in this dataset = 55 meV per atom
Crystal system = trigonal
Raw total energy = -3.93 eV per atom
Calculated formation energy = -0.245 eV/atom

Cell lengths 5.2367, 5.2367, 3.5235 Å; angles 90.00, 90.00, 120.00 degrees
Space group P3m1 (No. 156)
One atom of each set of equivalent atoms:
Dy  0.0000  0.0000  0.0000 (multiplicity 1)
In  0.3333  0.6667  0.6117 (multiplicity 1)
Pb  0.6667  0.3333  0.3971 (multiplicity 1)